1.
## RbErCdTe3 (GGA-PBE)

Data for RbErCdTe3 after structural relaxation.

abc: 4.5122 9.7990 10.9608
angles: 109.44 90.00 90.00
Closest atoms and distances in Å follow each position.
Element x y z (fractional)
1 Rb 0.2500 0.2149 0.2439  7 Te 3.69-3.98
2 Er 0.2500 0.6700 0.1353  6 Te 3.02-3.28
3 Te 0.2500 0.7682 0.4520  3 Cd 2.89-2.98
4 Rb 0.7500 0.7851 0.7561  7 Te 3.69-3.98
5 Cd 0.2500 0.0822 0.6090  4 Te 2.80-2.98
6 Te 0.7500 0.4659 0.1560  3 Er 3.02-3.07
7 Te 0.7500 0.8866 0.1275  1 Cd 2.80, 2 Er 3.12
8 Cd 0.7500 0.9178 0.3910  4 Te 2.80-2.98
9 Te 0.2500 0.5341 0.8440  3 Er 3.02-3.07
10 Er 0.7500 0.3300 0.8647  6 Te 3.02-3.28
11 Te 0.2500 0.1134 0.8725  1 Cd 2.80, 2 Er 3.12
12 Te 0.7500 0.2318 0.5480  3 Cd 2.89-2.98

## Properties
M_tot: 0.0 μB/cell
Raw formation energy: -607 kJ/mol of formula units
Space group: P2_1/m, No. 11

2.
## Th2Ni3Ge4Os (GGA-PBE)

Data for Th2Ni3Ge4Os after structural relaxation.

abc: 4.1844 4.1844 9.8636
angles: 90.00 90.00 90.00
Closest atoms and distances in Å follow each position.
Element x y z (fractional)
1 Ge 0.5000 0.5000 0.0000  4 Ni 2.41
2 Ge 0.0000 0.0000 0.0000  4 Ni 2.41
3 Ge 0.5000 0.0000 0.6373  3 Ni 2.39-2.49, 2 Os 2.49
4 Th 0.5000 0.0000 0.2491  8 Ge 3.16-3.23, 6 Ni 3.22-3.24, 2 Os 3.24
5 Ni 0.0000 0.5000 0.1207  5 Ge 2.39-2.41
6 Ge 0.0000 0.5000 0.3627  3 Ni 2.39-2.49, 2 Os 2.49
7 Os 0.5000 0.5000 0.5000  4 Ge 2.49
8 Ni 0.0000 0.0000 0.5000  4 Ge 2.49
9 Ni 0.5000 0.0000 0.8793  5 Ge 2.39-2.41
10 Th 0.0000 0.5000 0.7509  8 Ge 3.16-3.23, 6 Ni 3.22-3.24, 2 Os 3.24

## Properties
Formation energy: -0.651 eV/atom
M_tot: 0.0 μB/cell
Space group: P-4m2, No. 115

3.
## LaNd2As (GGA-PBE)

Data for LaNd2As after structural relaxation.

abc: 4.0347 4.0347 9.8960
angles: 78.24 78.24 60.00
Closest atoms and distances in Å follow each position.
Element x y z (fractional)
1 Nd 0.2722 0.2722 0.1835  3 As 2.92
2 Nd 0.0613 0.0613 0.8162  3 As 2.93
3 As 0.6665 0.6665 0.0006  6 Nd 2.92-2.93
4 La 0.5001 0.5001 0.4997  6 Nd 3.83, 6 La 4.03

## Properties
Formation energy: -0.622 eV/atom
M_tot: 0.1 μB/cell
Excess energy over the best structure of this formula in the dataset: 0 meV per atom
Space group: R3m, No. 160

4.
## RbTl4InPb2 (GGA-PBE)

Data for RbTl4InPb2 after structural relaxation.

abc: 5.5587 5.5587 10.6839
angles: 74.92 74.92 60.00
Closest atoms and distances in Å follow each position.
Element x y z (fractional)
1 Pb 0.2417 0.2417 0.2748  7 Tl 3.34-3.43
2 Tl 0.6052 0.6052 0.1845  1 In 3.21, 3 Pb 3.34
3 Rb 0.0000 0.0000 0.0000  8 Tl 3.72-4.01
4 Tl 0.8688 0.8688 0.3937  4 Pb 3.38-3.43, 3 In 3.39
5 In 0.5000 0.5000 0.5000  8 Tl 3.21-3.39
6 Tl 0.3948 0.3948 0.8155  1 In 3.21, 3 Pb 3.34
7 Pb 0.7583 0.7583 0.7252  7 Tl 3.34-3.43
8 Tl 0.1312 0.1312 0.6063  4 Pb 3.38-3.43, 3 In 3.39

## Properties
Formation energy: -0.012 eV/atom
M_tot: 0.0 μB/cell
Space group: R-3m, No. 166

5.
## CoSeI2N (GGA-PBE)

Data for CoSeI2N after structural relaxation.

abc: 5.9214 5.9214 3.6869
angles: 90.00 90.00 90.00
Closest atoms and distances in Å follow each position.
Element x y z (fractional)
1 N 0.0000 0.0000 0.5000  2 Se 1.84
2 Se 0.0000 0.0000 0.0000  2 N 1.84
3 I 0.5000 0.0000 0.0000  2 Se 2.96
4 Co 0.5000 0.5000 0.5000  8 I 3.49, 2 Co 3.69
5 I 0.0000 0.5000 0.0000  2 Se 2.96

## Properties
M_tot: 2.3 μB/cell
Raw formation energy: 613 kJ/mol of formula units
Excess energy over the best structure of this formula in the dataset: 634 meV per atom
Space group: P4/mmm, No. 123

6.
## LaZrPb (GGA-PBE)

Data for LaZrPb after structural relaxation.

abc: 5.3110 5.3110 3.5596
angles: 90.00 90.00 120.00
Closest atoms and distances in Å follow each position.
Element x y z (fractional)
1 La 0.0000 0.0000 0.9999  6 Pb 3.54-3.55, 6 Zr 3.55, 2 La 3.56
2 Zr 0.6667 0.3333 0.4998  3 Pb 3.07
3 Pb 0.3333 0.6667 0.5003  3 Zr 3.07

## Properties
Formation energy: -0.031 eV/atom
M_tot: 0.0 μB/cell
Excess energy over the best structure of this formula in the dataset: 347 meV per atom
Space group: P-6m2, No. 187